1.
Entry from the Alexandria database: an optimized crystal structure of PaCuRu2 (PBE-GGA).

Properties
Symmetry = Fm-3m
Fermi-level density of states = 0.843 states/eV/atom
Energy above the lowest structure with this stoichiometry = 155 meV/atom

Cell lengths 4.5358, 4.5358, 4.5358 Å; angles 60.00, 60.00, 60.00 degrees
Last column: nearest neighbours and their distance in Å.
Atoms (fractional coordinates):
Ru1 0.7500 0.7500 0.7500  4 Pa 2.78, 4 Cu 2.78
Ru2 0.2500 0.2500 0.2500  4 Pa 2.78, 4 Cu 2.78
Pa1 0.0000 0.0000 0.0000  8 Ru 2.78
Cu1 0.5000 0.5000 0.5000  8 Ru 2.78

=====

2.
Entry from the Alexandria database: an optimized crystal structure of PrTm4Se5 (PBE-GGA).

Properties
Symmetry = Immm
Fermi-level density of states = 0.525 states/eV/atom
Formation energy from raw total energies = -1.68 eV/atom

Cell lengths 4.0413, 5.7555, 10.8333 Å; angles 105.40, 100.75, 90.00 degrees
Last column: nearest neighbours and their distance in Å.
Atoms (fractional coordinates):
Tm1 0.2042 0.2042 0.4084  6 Se 2.82-2.88
Tm2 0.4018 0.4018 0.8037  6 Se 2.85-2.89
Tm3 0.7958 0.7958 0.5916  6 Se 2.82-2.88
Tm4 0.5982 0.5982 0.1963  6 Se 2.85-2.89
Se1 0.6084 0.1084 0.2168  4 Tm 2.82-2.89, 2 Pr 3.00
Se2 0.1976 0.6976 0.3952  6 Tm 2.85-2.88
Se3 0.3916 0.8916 0.7832  4 Tm 2.82-2.89, 2 Pr 3.00
Se4 0.8024 0.3024 0.6048  6 Tm 2.85-2.88
Se5 0.0000 0.5000 0.0000  4 Tm 2.85, 2 Pr 2.88
Pr1 0.0000 0.0000 0.0000  6 Se 2.88-3.00

=====

3.
Entry from the Alexandria database: an optimized crystal structure of Na3Ga6Sn5 (PBE-GGA).

Properties
Symmetry = Pmmn
Fermi-level density of states = 0.317 states/eV/atom
Total energy = -86.58 eV for the cell shown

Cell lengths 4.4700, 11.3367, 13.7716 Å; angles 90.00, 90.00, 90.00 degrees
Last column: nearest neighbours and their distance in Å.
Atoms (fractional coordinates):
Ga1 0.0000 0.9800 0.1514  4 Sn 2.83-2.90, 2 Ga 3.06
Ga2 0.0000 0.9800 0.8486  4 Sn 2.83-2.90, 2 Ga 3.06
Ga3 0.0000 0.6224 0.6699  4 Sn 2.78-2.91
Ga4 0.5000 0.0200 0.6514  4 Sn 2.83-2.90, 2 Ga 3.06
Ga5 0.5000 0.5889 0.0000  6 Sn 3.01-3.29, 2 Na 3.20, 2 Ga 3.35
Ga6 0.5000 0.3776 0.8301  4 Sn 2.78-2.91
Ga7 0.5000 0.3776 0.1699  4 Sn 2.78-2.91
Ga8 0.0000 0.4111 0.5000  6 Sn 3.01-3.29, 2 Na 3.20, 2 Ga 3.35
Ga9 0.5000 0.9719 0.0000  4 Sn 2.87-2.95, 4 Ga 3.06
Ga10 0.0000 0.6224 0.3301  4 Sn 2.78-2.91
Ga11 0.0000 0.0281 0.5000  4 Sn 2.87-2.95, 4 Ga 3.06
Ga12 0.5000 0.0200 0.3486  4 Sn 2.83-2.90, 2 Ga 3.06
Na1 0.0000 0.2448 0.3126  6 Ga 3.20-3.56, 6 Sn 3.32-3.53
Na2 0.0000 0.2448 0.6874  6 Ga 3.20-3.56, 6 Sn 3.32-3.53
Na3 0.5000 0.7552 0.1874  6 Ga 3.20-3.56, 6 Sn 3.32-3.53
Na4 0.0000 0.2572 0.0000  6 Sn 3.45-3.54, 6 Ga 3.51-3.77
Na5 0.5000 0.7552 0.8126  6 Ga 3.20-3.56, 6 Sn 3.32-3.53
Na6 0.5000 0.7428 0.5000  6 Sn 3.45-3.54, 6 Ga 3.51-3.77
Sn1 0.5000 0.1327 0.8395  5 Ga 2.78-2.89
Sn2 0.5000 0.1980 0.5000  4 Ga 2.90-2.95
Sn3 0.5000 0.4773 0.3642  5 Ga 2.81-3.01
Sn4 0.5000 0.4773 0.6358  5 Ga 2.81-3.01
Sn5 0.0000 0.5227 0.1358  5 Ga 2.81-3.01
Sn6 0.5000 0.1327 0.1605  5 Ga 2.78-2.89
Sn7 0.0000 0.8020 0.0000  4 Ga 2.90-2.95
Sn8 0.0000 0.8673 0.3395  5 Ga 2.78-2.89
Sn9 0.0000 0.8673 0.6605  5 Ga 2.78-2.89
Sn10 0.0000 0.5227 0.8642  5 Ga 2.81-3.01

=====

4.
Entry from the Alexandria database: an optimized crystal structure of GePd (PBE-GGA).

Properties
Symmetry = P4/nmm
Fermi-level density of states = 0.218 states/eV/atom
Total energy = -42.08 eV for the cell shown

Cell lengths 4.9862, 4.9862, 5.2105 Å; angles 90.00, 90.00, 90.00 degrees
Last column: nearest neighbours and their distance in Å.
Atoms (fractional coordinates):
Ge1 0.5000 0.5000 0.0000  6 Pd 2.61-2.69
Ge2 0.5000 0.0000 0.3141  6 Pd 2.56-2.67
Ge3 0.0000 0.5000 0.6859  6 Pd 2.56-2.67
Ge4 0.0000 0.0000 0.0000  6 Pd 2.61-2.69
Pd1 0.0000 0.0000 0.5000  6 Ge 2.61-2.67
Pd2 0.5000 0.5000 0.5000  6 Ge 2.61-2.67
Pd3 0.5000 0.0000 0.8062  6 Ge 2.56-2.69
Pd4 0.0000 0.5000 0.1938  6 Ge 2.56-2.69

=====

5.
Entry from the Alexandria database: an optimized crystal structure of Rb2AcHoO4 (PBE-GGA).

Properties
Symmetry = P2/m
Fermi-level density of states = 0.000 states/eV/atom
Formation energy from raw total energies = -2.58 eV/atom

Cell lengths 3.6862, 6.4144, 6.9463 Å; angles 107.94, 90.00, 90.00 degrees
Last column: nearest neighbours and their distance in Å.
Atoms (fractional coordinates):
Rb1 0.0000 0.5000 0.5000  6 O 3.05-3.11
Rb2 0.5000 0.0000 0.5000  6 O 2.95
O1 0.0000 0.7506 0.1808  1 Ho 2.32, 2 Ac 2.51
O2 0.0000 0.2494 0.8192  1 Ho 2.32, 2 Ac 2.51
O3 0.5000 0.2093 0.1775  2 Ho 2.39, 1 Ac 2.53
O4 0.5000 0.7907 0.8225  2 Ho 2.39, 1 Ac 2.53
Ho1 0.0000 0.0000 0.0000  6 O 2.32-2.39
Ac1 0.5000 0.5000 0.0000  6 O 2.51-2.53

=====

6.
Entry from the Alexandria database: an optimized crystal structure of K2ThHgTe4 (PBE-GGA).

Properties
Symmetry = P2/m
Formation energy from raw total energies = -0.89 eV/atom

Cell lengths 4.5235, 8.2195, 8.7345 Å; angles 110.45, 90.00, 90.00 degrees
Last column: nearest neighbours and their distance in Å.
Atoms (fractional coordinates):
K1 0.5000 0.0000 0.5000  6 Te 3.51-3.81
K2 0.0000 0.5000 0.5000  6 Te 3.44-3.64
Te1 0.5000 0.2295 0.1889  2 Hg 3.04, 1 Th 3.20
Te2 0.0000 0.2828 0.7722  2 Th 3.13, 1 K 3.44
Te3 0.5000 0.7705 0.8111  2 Hg 3.04, 1 Th 3.20
Te4 0.0000 0.7172 0.2278  2 Th 3.13, 1 K 3.44
Th1 0.5000 0.5000 0.0000  6 Te 3.13-3.20
Hg1 0.0000 0.0000 0.0000  4 Te 3.04

=====

7.
Entry from the Alexandria database: an optimized crystal structure of UP2Au (PBE-GGA).

Properties
Symmetry = R3m
Fermi-level density of states = 1.713 states/eV/atom
Energy above the lowest structure with this stoichiometry = 246 meV/atom

Cell lengths 3.8513, 3.8513, 6.5021 Å; angles 72.77, 72.77, 60.00 degrees
Last column: nearest neighbours and their distance in Å.
Atoms (fractional coordinates):
U1 0.4968 0.4968 0.5096  6 P 2.73-2.76
Au1 0.6738 0.6738 0.9786  6 P 2.57-2.75
P1 0.2524 0.2524 0.2429  3 Au 2.75, 3 U 2.76
P2 0.0770 0.0770 0.7689  3 Au 2.57, 3 U 2.73

=====

8.
Entry from the Alexandria database: an optimized crystal structure of Li14AgPd (PBE-GGA).

Properties
Symmetry = Amm2
Fermi-level density of states = 0.460 states/eV/atom
Total energy = -36.14 eV for the cell shown

Cell lengths 5.7299, 5.7299, 9.4035 Å; angles 90.00, 90.00, 112.92 degrees
Last column: nearest neighbours and their distance in Å.
Atoms (fractional coordinates):
Li1 0.3760 0.6240 0.2656  8 Li 2.79-2.96, 1 Pd 2.84
Li2 0.3892 0.1409 0.7274  1 Pd 2.67, 1 Ag 2.76, 6 Li 2.80-2.98
Li3 0.8889 0.1111 0.7482  9 Li 2.81-3.11, 1 Ag 2.94
Li4 0.0640 0.4180 0.5000  7 Li 2.79-3.05, 2 Pd 2.83-2.91, 2 Ag 2.86-2.87
Li5 0.8889 0.1111 0.2518  9 Li 2.81-3.11, 1 Ag 2.94
Li6 0.6621 0.8173 0.0000  9 Li 2.85-3.04
Li7 0.6773 0.3227 0.0000  12 Li 2.86-3.17
Li8 0.8591 0.6108 0.7274  1 Pd 2.67, 1 Ag 2.76, 6 Li 2.80-2.98
Li9 0.3892 0.1409 0.2726  1 Pd 2.67, 1 Ag 2.76, 6 Li 2.80-2.98
Li10 0.8591 0.6108 0.2726  1 Pd 2.67, 1 Ag 2.76, 6 Li 2.80-2.98
Li11 0.1827 0.3379 0.0000  9 Li 2.85-3.04
Li12 0.1654 0.8346 0.0000  10 Li 2.85-3.17
Li13 0.3760 0.6240 0.7344  8 Li 2.79-2.96, 1 Pd 2.84
Li14 0.5820 0.9360 0.5000  7 Li 2.79-3.05, 2 Pd 2.83-2.91, 2 Ag 2.86-2.87
Pd1 0.5639 0.4361 0.5000  10 Li 2.67-2.91
Ag1 0.0762 0.9238 0.5000  10 Li 2.76-2.94

=====

9.
Entry from the Alexandria database: an optimized crystal structure of LaPuI4 (PBE-GGA).

Properties
Symmetry = I-4m2
Fermi-level density of states = 2.407 states/eV/atom
Formation energy from raw total energies = -1.15 eV/atom
Energy above the lowest structure with this stoichiometry = 66 meV/atom

Cell lengths 6.3841, 6.3841, 7.7116 Å; angles 114.45, 114.45, 90.00 degrees
Last column: nearest neighbours and their distance in Å.
Atoms (fractional coordinates):
Pu1 0.5000 0.5000 0.0000  6 I 3.19
I1 0.9912 0.4912 0.9825  2 Pu 3.19, 1 La 3.24
I2 0.5088 0.0088 0.0175  2 Pu 3.19, 1 La 3.24
I3 0.7552 0.7552 0.5105  1 Pu 3.19, 2 La 3.19
I4 0.2448 0.2448 0.4895  1 Pu 3.19, 2 La 3.19
La1 0.2500 0.7500 0.5000  6 I 3.19-3.24

=====

10.
Entry from the Alexandria database: an optimized crystal structure of NaInAu2 (PBE-GGA).

Properties
Symmetry = P4/mmm
Fermi-level density of states = 0.255 states/eV/atom
Total energy = -11.42 eV for the cell shown

Cell lengths 3.4450, 3.4450, 7.1350 Å; angles 90.00, 90.00, 90.00 degrees
Last column: nearest neighbours and their distance in Å.
Atoms (fractional coordinates):
In1 0.5000 0.5000 0.0000  8 Au 2.96
Au1 0.0000 0.0000 0.7637  4 In 2.96, 4 Na 3.08
Au2 0.0000 0.0000 0.2363  4 In 2.96, 4 Na 3.08
Na1 0.5000 0.5000 0.5000  8 Au 3.08, 4 Na 3.45

=====

11.
Entry from the Alexandria database: an optimized crystal structure of Y3BiC (PBE-GGA).

Properties
Symmetry = P2/m
Fermi-level density of states = 0.579 states/eV/atom
Energy above the lowest structure with this stoichiometry = 70 meV/atom

Cell lengths 7.4898, 8.1067, 4.8733 Å; angles 90.00, 90.00, 122.81 degrees
Last column: nearest neighbours and their distance in Å.
Atoms (fractional coordinates):
Y1 0.6159 0.6318 0.5345  2 C 2.48-2.49
Y2 0.2242 0.3924 0.0344  2 C 2.44
Y3 0.8325 0.1530 0.5344  2 C 2.48-2.49
Y4 0.3325 0.1530 0.5344  2 C 2.48-2.49
Y5 0.7242 0.3924 0.0344  2 C 2.44
Y6 0.1159 0.6318 0.5345  2 C 2.48-2.49
Bi1 0.9743 0.8924 0.0344  10 Y 3.38-3.74, 2 Bi 3.74
Bi2 0.4743 0.8924 0.0344  10 Y 3.38-3.74, 2 Bi 3.74
C1 0.7242 0.3924 0.5344  6 Y 2.44-2.49
C2 0.2242 0.3924 0.5344  6 Y 2.44-2.49

=====

12.
Entry from the Alexandria database: an optimized crystal structure of BeRe2Pb (PBE-GGA).

Properties
Symmetry = C2/m
Fermi-level density of states = 0.818 states/eV/atom
Energy above the lowest structure with this stoichiometry = 658 meV/atom

Cell lengths 5.4126, 5.4126, 2.9520 Å; angles 74.76, 74.76, 118.13 degrees
Last column: nearest neighbours and their distance in Å.
Atoms (fractional coordinates):
Be1 0.5000 0.0000 0.5000  4 Re 2.72, 4 Pb 2.78-2.84, 2 Be 2.95
Re1 0.0000 0.0000 0.0000  2 Pb 2.72, 2 Be 2.72, 6 Re 2.78-2.95
Re2 0.5000 0.5000 0.0000  2 Be 2.72, 2 Pb 2.72, 6 Re 2.78-2.95
Pb1 0.0000 0.5000 0.5000  4 Re 2.72, 4 Be 2.78-2.84, 2 Pb 2.95